Record 1
{
  "formula": "LiTaSb",
  "functional": "GGA-PBEsol",
  "state": "relaxed",
  "m_tot_mub_per_cell": 0.45,
  "polymorph_energy_mev_per_atom": 499,
  "raw_formation_energy_kcal_per_mol_atoms": 14.980,
  "dos_at_fermi_per_ev_cell": 3.762,
  "lattice": [[4.241, 0.000, 0.000], [2.121, 3.673, 0.000], [2.121, 1.224, 3.463]],
  "species": ["Li", "Sb", "Ta"],
  "frac_coords": [[0.750, 0.750, 0.750], [0.000, 0.000, 0.000], [0.500, 0.500, 0.500]]
}

Record 2
{
  "formula": "Sm3TlC",
  "functional": "GGA-PBEsol",
  "state": "relaxed",
  "m_tot_mub_per_cell": 0.00,
  "formation_enthalpy_0k_ev_per_atom": -0.380,
  "dos_at_fermi_per_ev_cell": 1.908,
  "lattice": [[4.978, 0.000, 0.000], [0.000, 4.978, 0.000], [0.000, 0.000, 4.978]],
  "species": ["Sm", "Sm", "Sm", "C", "Tl"],
  "frac_coords": [[0.500, 0.000, 0.500], [0.000, 0.500, 0.500], [0.500, 0.500, 0.000], [0.500, 0.500, 0.500], [0.000, 0.000, 0.000]]
}

Record 3
{
  "formula": "La3Lu",
  "functional": "GGA-PBEsol",
  "state": "relaxed",
  "m_tot_mub_per_cell": 0.00,
  "formation_enthalpy_0k_ev_per_atom": 0.018,
  "dos_at_fermi_per_ev_cell": 6.212,
  "lattice": [[-2.807, 3.089, -2.833], [-3.769, -3.351, 0.081], [1.440, 2.311, 5.582]],
  "species": ["La", "La", "La", "Lu"],
  "frac_coords": [[0.500, 0.500, 0.000], [0.750, 0.250, 0.500], [0.250, 0.750, 0.500], [0.000, 0.000, 0.000]]
}

Copy entry 1 word for word.
{
  "formula": "LiTaSb",
  "functional": "GGA-PBEsol",
  "state": "relaxed",
  "m_tot_mub_per_cell": 0.45,
  "polymorph_energy_mev_per_atom": 499,
  "raw_formation_energy_kcal_per_mol_atoms": 14.980,
  "dos_at_fermi_per_ev_cell": 3.762,
  "lattice": [[4.241, 0.000, 0.000], [2.121, 3.673, 0.000], [2.121, 1.224, 3.463]],
  "species": ["Li", "Sb", "Ta"],
  "frac_coords": [[0.750, 0.750, 0.750], [0.000, 0.000, 0.000], [0.500, 0.500, 0.500]]
}